[1]
## LiTh4Si3Rh12 (PBE-GGA)

Data for a relaxed structure of LiTh4Si3Rh12.

Results
The value obtained for the electronic total energy is -149.7 eV per formula unit. Its crystal system is cubic. The mass density is 10.5 g cm⁻³. The calculation puts the magnetic moment at 0.0 μB/cell.

Cell lengths 8.9391, 8.9391, 8.9391 Å; angles 90.00, 90.00, 90.00 degrees
With the nearest neighbours (Å) after each atom.
Space group Im-3m (No. 229)
Unique sites:
Li 0.0000 0.0000 0.0000 [2 per cell]  6 Rh 2.22
Th 0.2500 0.2500 0.2500 [8 per cell]  12 Rh 3.16
Si 0.0000 0.0000 0.5000 [6 per cell]  6 Rh 2.23-2.25
Rh 0.0000 0.0000 0.2482 [12 per cell]  1 Li 2.22, 1 Si 2.25
Rh 0.0000 0.2500 0.5000 [12 per cell]  2 Si 2.23

[2]
## KTaIr2Pd (PBE-GGA)

Data for a relaxed structure of KTaIr2Pd.

Results
The value obtained for the formation energy is 155.5 kJ per mole of atoms. Its crystal system is tetragonal. The mass density is 9.9 g cm⁻³. The calculation puts the magnetic moment at 0.7 μB/cell.

Cell lengths 5.0268, 5.0268, 4.7033 Å; angles 90.00, 90.00, 90.00 degrees
With the nearest neighbours (Å) after each atom.
Space group P4/mmm (No. 123)
Unique sites:
K 0.0000 0.0000 0.0000 [1 per cell]  8 Ir 3.44, 4 Ta 3.55
Ta 0.5000 0.5000 0.0000 [1 per cell]  2 Pd 2.35
Ir 0.0000 0.5000 0.5000 [2 per cell]  2 Pd 2.51
Pd 0.5000 0.5000 0.5000 [1 per cell]  2 Ta 2.35, 4 Ir 2.51

[3]
## VZnSb3 (PBE-GGA)

Data for a relaxed structure of VZnSb3.

Results
Its crystal system is cubic. The mass density is 5.8 g cm⁻³. The energy above the most stable polymorph in this dataset comes out at 537 meV per atom. The calculation puts the magnetic moment at 3.6 μB/cell.

Cell lengths 5.1768, 5.1768, 5.1768 Å; angles 90.00, 90.00, 90.00 degrees
With the nearest neighbours (Å) after each atom.
Space group Pm-3m (No. 221)
Unique sites:
V 0.0000 0.0000 0.0000 [1 per cell]  12 Sb 3.66
Zn 0.5000 0.5000 0.5000 [1 per cell]  6 Sb 2.59
Sb 0.0000 0.5000 0.5000 [3 per cell]  2 Zn 2.59

[4]
## B2N (PBE-GGA)

Data for a relaxed structure of B2N.

Results
Its crystal system is monoclinic. The mass density is 3.0 g cm⁻³. The energy above the most stable polymorph in this dataset comes out at 109 meV per atom. The calculation puts the magnetic moment at 0.0 μB/cell.

Cell lengths 4.4158, 2.5549, 7.1136 Å; angles 90.00, 101.96, 90.00 degrees
With the nearest neighbours (Å) after each atom.
Space group Cm (No. 8)
Unique sites:
B 0.0000 0.0000 0.0000 [2 per cell]  4 N 1.54-1.58
B 0.0687 0.5000 0.7031 [2 per cell]  1 N 1.49
B 0.2671 0.5000 0.3023 [2 per cell]  3 N 1.58, 1 B 1.73
B 0.3467 0.5000 0.5514 [2 per cell]  4 B 1.73-1.82
N 0.0735 0.0000 0.2215 [2 per cell]  4 B 1.54-1.58
N 0.1393 0.5000 0.9179 [2 per cell]  4 B 1.49-1.58

[5]
## PrGdLuGa (PBE-GGA)

Data for a relaxed structure of PrGdLuGa.

Results
The value obtained for the formation energy is -12.3 kJ per mole of atoms. Its crystal system is cubic. The mass density is 8.2 g cm⁻³. The calculation puts the magnetic moment at 32.4 μB/cell.

Cell lengths 7.6049, 7.6049, 7.6049 Å; angles 90.00, 90.00, 90.00 degrees
With the nearest neighbours (Å) after each atom.
Space group F-43m (No. 216)
Unique sites:
Pr 0.0000 0.0000 0.0000 [4 per cell]  4 Lu 3.29, 4 Ga 3.29
Gd 0.0000 0.0000 0.5000 [4 per cell]  4 Lu 3.29, 4 Ga 3.29
Lu 0.2500 0.2500 0.2500 [4 per cell]  4 Gd 3.29, 4 Pr 3.29
Ga 0.2500 0.2500 0.7500 [4 per cell]  4 Gd 3.29, 4 Pr 3.29

[6]
## TaWS3 (PBE-GGA)

Data for a relaxed structure of TaWS3.

Results
Its crystal system is cubic. The mass density is 7.7 g cm⁻³. The energy above the most stable polymorph in this dataset comes out at 1273 meV per atom. The calculation puts the magnetic moment at 3.2 μB/cell.

Cell lengths 4.6370, 4.6370, 4.6370 Å; angles 90.00, 90.00, 90.00 degrees
With the nearest neighbours (Å) after each atom.
Space group Pm-3m (No. 221)
Unique sites:
Ta 0.0000 0.0000 0.0000 [1 per cell]  12 S 3.28
W 0.5000 0.5000 0.5000 [1 per cell]  6 S 2.32
S 0.0000 0.5000 0.5000 [3 per cell]  2 W 2.32

[7]
## Cs3K9Hg2 (PBE-GGA)

Data for a relaxed structure of Cs3K9Hg2.

Results
The value obtained for the formation energy is -3.6 kJ per mole of atoms. Its crystal system is orthorhombic. The mass density is 2.0 g cm⁻³. The calculation puts the magnetic moment at 0.0 μB/cell.

Cell lengths 6.6195, 16.6878, 17.2463 Å; angles 90.00, 90.00, 90.00 degrees
With the nearest neighbours (Å) after each atom.
Space group Immm (No. 71)
Unique sites:
Cs 0.0000 0.0000 0.0000 [2 per cell]  8 K 4.67
Cs 0.0000 0.0000 0.3186 [4 per cell]  2 Hg 4.20, 2 K 4.55
K 0.0000 0.2887 0.1234 [8 per cell]  2 Hg 4.00, 5 K 4.11-4.38
K 0.0000 0.3569 0.3686 [8 per cell]  1 Hg 3.89, 2 K 4.11
K 0.0000 0.5000 0.0000 [2 per cell]  4 K 4.12, 4 Hg 4.33, 4 Cs 4.55
Hg 0.0000 0.1675 0.5000 [4 per cell]  8 K 3.89-4.33, 2 Cs 4.20

[8]
## Fe2HgW (PBE-GGA)

Data for a relaxed structure of Fe2HgW.

Results
The value obtained for the formation energy is 36.9 kJ per mole of atoms. Its crystal system is orthorhombic. The mass density is 13.5 g cm⁻³. The calculation puts the magnetic moment at 8.7 μB/cell.

Cell lengths 3.2324, 4.3973, 8.6090 Å; angles 90.00, 90.00, 90.00 degrees
With the nearest neighbours (Å) after each atom.
Space group Cmmm (No. 65)
Unique sites:
Fe 0.0000 0.0000 0.2332 [4 per cell]  2 W 2.58, 4 Fe 2.73, 2 Hg 2.81
Hg 0.0000 0.5000 0.5000 [2 per cell]  4 Hg 2.73, 4 Fe 2.81
W 0.0000 0.5000 0.0000 [2 per cell]  4 Fe 2.58, 4 W 2.73

[9]
## Tb2Zn3Cu12Rh (PBE-GGA)

Data for a relaxed structure of Tb2Zn3Cu12Rh.

Results
The value obtained for the formation energy is 0.6 kJ per mole of atoms. Its crystal system is trigonal. The mass density is 8.2 g cm⁻³. The calculation puts the magnetic moment at 0.0 μB/cell.

Cell lengths 5.1260, 5.1260, 36.9812 Å; angles 90.00, 90.00, 120.00 degrees
With the nearest neighbours (Å) after each atom.
Space group R-3m (No. 166, hexagonal axes)
Unique sites:
Tb 0.0000 0.0000 0.1448 [6 per cell]  6 Cu 2.90, 3 Rh 3.07
Zn 0.0000 0.5000 0.0000 [9 per cell]  4 Cu 2.53, 4 Zn 2.56
Cu 0.0015 0.5007 0.1082 [18 per cell]  6 Cu 2.48-2.57, 1 Rh 2.61
Cu 0.0106 0.5053 0.6117 [18 per cell]  6 Cu 2.48-2.64, 2 Zn 2.53
Rh 0.0000 0.0000 0.5000 [3 per cell]  6 Cu 2.61

[10]
## ReBPC (PBE-GGA)

Data for a relaxed structure of ReBPC.

Results
The value obtained for the formation energy is 18.3 kJ per mole of atoms. Its crystal system is monoclinic. The mass density is 7.4 g cm⁻³. The energy above the most stable polymorph in this dataset comes out at 78 meV per atom. The calculation puts the magnetic moment at 0.0 μB/cell.

Cell lengths 4.8567, 2.8031, 8.0943 Å; angles 90.00, 101.12, 90.00 degrees
With the nearest neighbours (Å) after each atom.
Space group Cm (No. 8)
Unique sites:
Re 0.0000 0.0000 0.0000 [2 per cell]  1 C 2.09
B 0.2490 0.0000 0.7403 [2 per cell]  3 C 1.62
P 0.4072 0.0000 0.2308 [2 per cell]  3 Re 2.44-2.45
C 0.4143 0.5000 0.7364 [2 per cell]  3 B 1.62

[11]
## K7Rb2Au (PBE-GGA)

Data for a relaxed structure of K7Rb2Au.

Results
The value obtained for the formation energy is -5.1 kJ per mole of atoms. Its crystal system is monoclinic. The mass density is 1.6 g cm⁻³. The calculation puts the magnetic moment at 0.0 μB/cell.

Cell lengths 23.0006, 11.4490, 11.8036 Å; angles 90.00, 120.80, 90.00 degrees
With the nearest neighbours (Å) after each atom.
Space group C2/c (No. 15)
Unique sites:
K 0.0000 0.0013 0.2500 [4 per cell]  8 K 4.63-5.01, 4 Rb 4.82
K 0.0417 0.3444 0.0419 [8 per cell]  2 Au 3.54-3.55, 1 K 3.93
K 0.1381 0.3211 0.8377 [8 per cell]  1 Au 3.46
K 0.1387 0.3226 0.4390 [8 per cell]  1 Au 3.46
Rb 0.1928 0.0087 0.1922 [8 per cell]  7 K 4.52-4.87
Au 0.0000 0.5002 0.2500 [4 per cell]  8 K 3.46-3.55

[12]
## ThZrScTa (PBE-GGA)

Data for a relaxed structure of ThZrScTa.

Results
The value obtained for the formation energy is 17.2 kJ per mole of atoms. Its crystal system is cubic. The mass density is 9.7 g cm⁻³. The calculation puts the magnetic moment at 0.0 μB/cell.

Cell lengths 7.2074, 7.2074, 7.2074 Å; angles 90.00, 90.00, 90.00 degrees
With the nearest neighbours (Å) after each atom.
Space group F-43m (No. 216)
Unique sites:
Th 0.0000 0.0000 0.0000 [4 per cell]  4 Ta 3.12, 4 Sc 3.12
Zr 0.0000 0.0000 0.5000 [4 per cell]  4 Sc 3.12, 4 Ta 3.12
Sc 0.2500 0.2500 0.2500 [4 per cell]  4 Zr 3.12, 4 Th 3.12
Ta 0.2500 0.2500 0.7500 [4 per cell]  4 Zr 3.12, 4 Th 3.12